A relaxed FeCl3O crystal, computed with PBE with a Hubbard U.

CIF file:
```
data_FeCl3O
_chemical_formula_sum 'Fe1 Cl3 O1'
_cell_length_a 4.813
_cell_length_b 4.813
_cell_length_c 4.813
_cell_angle_alpha 90.00
_cell_angle_beta 90.00
_cell_angle_gamma 90.00
_space_group_name_H-M_alt 'P m -3 m'
_space_group_IT_number 221
_space_group_name_Hall '-P 4 2 3'
loop_
_atom_site_label
_atom_site_fract_x
_atom_site_fract_y
_atom_site_fract_z
Fe1 0.000 0.000 0.000
Cl1 0.000 0.000 0.500
O1 0.500 0.500 0.500
```

The value obtained for the theoretical density is 2.65 g/cm3. For the energy above the most stable polymorph in this dataset, the calculation gives 0.00 kcal/mol of atoms.